1.
A relaxed structure of SiSb2TeCl. Source: Alexandria via LeMat-Bulk, functional PBE.

Properties
Volume (Å³/cell): 146
Polymorph energy (0 for the lowest one) (meV per atom): 0
Formation energy from raw total energies (kJ/mol of formula units): 217

a = 5.2775 Å, b = 5.2775 Å, c = 5.2313 Å
α = 90.00°, β = 90.00°, γ = 90.00°
Fractional coordinates of all 5 atoms:
Sb 0.0000 0.5000 0.0000
Sb 0.5000 0.0000 0.0000
Si 0.0000 0.0000 0.0000
Te 0.0000 0.0000 0.5000
Cl 0.5000 0.5000 0.5000

***

2.
A relaxed structure of Ho6PdRu5. Source: Alexandria via LeMat-Bulk, functional PBE.

Properties
Volume (Å³/cell): 236
Energy of formation (eV per atom): -0.4710

a = 4.8088 Å, b = 6.8163 Å, c = 7.5789 Å
α = 90.00°, β = 71.50°, γ = 90.00°
Fractional coordinates of all 12 atoms:
Ru 0.6659 0.5000 0.6683
Ru 0.3344 0.0000 0.3311
Ru 0.0000 0.5000 0.0000
Ru 0.6656 0.0000 0.6689
Ru 0.3341 0.5000 0.3317
Ho 0.8309 0.7475 0.3382
Ho 0.8309 0.2525 0.3382
Ho 0.5000 0.2556 0.0000
Ho 0.5000 0.7444 0.0000
Ho 0.1691 0.7475 0.6618
Ho 0.1691 0.2525 0.6618
Pd 0.0000 0.0000 0.0000